This record from Alexandria describes an optimized crystal structure of MnCd2Ir. The functional is GGA-PBE.

a b c (Å): 5.1016 5.1016 4.6980
angles (deg): 75.28 75.28 35.69
Atoms (fractional coordinates):
1 Cd 0.0021 0.0021 0.9971
2 Cd 0.4979 0.4979 0.5029
3 Ir 0.7500 0.7500 0.7500
4 Mn 0.2500 0.2500 0.2500

Values from the calculation:
Symmetry ... C2/m
Distance to the lowest polymorph of the same formula ... 0.44 eV per formula unit
Energy ... -0.352 Ry/atom
Spin magnetization ... 3.9 Bohr magnetons per cell
Formation energy from the elements ... 0.175 eV/atom

This record from Alexandria describes an optimized crystal structure of MnCdIr3. The functional is GGA-PBE.

a b c (Å): 4.5017 4.5017 4.5017
angles (deg): 90.00 90.00 90.00
Atoms (fractional coordinates):
1 Ir 0.0000 0.5000 0.0000
2 Ir 0.0000 0.0000 0.5000
3 Ir 0.5000 0.0000 0.0000
4 Mn 0.0000 0.0000 0.0000
5 Cd 0.5000 0.5000 0.5000

Values from the calculation:
Symmetry ... Pm-3m
Distance to the lowest polymorph of the same formula ... 0.00 eV per formula unit
Energy ... -0.456 Ry/atom
Spin magnetization ... 0.0 Bohr magnetons per cell
Formation energy from the elements ... 1.128 eV/atom

This record from Alexandria describes an optimized crystal structure of MnCd2Ir. The functional is GGA-PBE.

a b c (Å): 4.6064 4.6064 4.6064
angles (deg): 60.00 60.00 60.00
Atoms (fractional coordinates):
1 Cd 0.0000 0.0000 0.0000
2 Cd 0.2500 0.2500 0.2500
3 Ir 0.5000 0.5000 0.5000
4 Mn 0.7500 0.7500 0.7500

Values from the calculation:
Symmetry ... F-43m
Distance to the lowest polymorph of the same formula ... 0.41 eV per formula unit
Energy ... -0.353 Ry/atom
Spin magnetization ... 4.1 Bohr magnetons per cell
Formation energy from the elements ... 0.167 eV/atom

This record from Alexandria describes an optimized crystal structure of MnNbCdIr2. The functional is GGA-PBE.

a b c (Å): 4.7803 4.8937 4.7803
angles (deg): 90.00 90.00 90.00
Atoms (fractional coordinates):
1 Nb 0.0000 0.5000 0.0000
2 Ir 0.0000 0.0000 0.5000
3 Ir 0.5000 0.0000 0.0000
4 Mn 0.5000 0.5000 0.5000
5 Cd 0.0000 0.0000 0.0000

Values from the calculation:
Symmetry ... P4/mmm
Energy ... -0.367 Ry/atom
Spin magnetization ... 0.6 Bohr magnetons per cell
Formation energy from the elements ... 2.586 eV/atom

This record from Alexandria describes an optimized crystal structure of MnNbCd2Ir. The functional is GGA-PBE.

a b c (Å): 5.3613 4.6932 5.3613
angles (deg): 90.00 90.00 90.00
Atoms (fractional coordinates):
1 Nb 0.0000 0.0000 0.0000
2 Ir 0.0000 0.5000 0.0000
3 Mn 0.5000 0.5000 0.5000
4 Cd 0.0000 0.0000 0.5000
5 Cd 0.5000 0.0000 0.0000

Values from the calculation:
Symmetry ... P4/mmm
Energy ... -0.342 Ry/atom
Spin magnetization ... 4.4 Bohr magnetons per cell
Formation energy from the elements ... 1.338 eV/atom